(1)
Crystalline Ba2TcHg at its relaxed geometry, computed with GGA-PBEsol.

## Properties
polymorph energy (0 for the lowest one)	59	meV per atom
energy of formation from the pure elements	0.457	eV per atom

Lattice parameters (Å, degrees): 6.7024 6.7024 6.7024 148.37 131.40 59.15
Last column: nearest neighbours and their distance in Å.
Element x y z (fractional)
Ba1 0.0000 0.0000 0.0000  4 Tc 3.35, 4 Ba 3.58-3.65, 2 Hg 3.74
Ba2 0.6963 0.1963 0.5000  2 Tc 3.36, 4 Hg 3.45, 4 Ba 3.58-3.65
Tc1 0.4545 0.4545 0.0000  2 Hg 2.73
Hg1 0.2801 0.7801 0.5000  2 Tc 2.73

***

(2)
Crystalline BaTc2Hg at its relaxed geometry, computed with GGA-PBEsol.

## Properties
polymorph energy (0 for the lowest one)	598	meV per atom
energy of formation from the pure elements	1.150	eV per atom

Lattice parameters (Å, degrees): 5.7315 5.7315 3.0302 104.10 104.10 116.40
Last column: nearest neighbours and their distance in Å.
Element x y z (fractional)
Ba1 0.0000 0.0000 0.0000  4 Tc 2.90, 4 Hg 3.02-3.14, 2 Ba 3.03
Tc1 0.0000 0.5000 0.5000  2 Hg 2.90, 2 Ba 2.90, 6 Tc 3.02-3.14
Tc2 0.5000 0.0000 0.5000  2 Hg 2.90, 2 Ba 2.90, 6 Tc 3.02-3.14
Hg1 0.5000 0.5000 0.0000  4 Tc 2.90, 4 Ba 3.02-3.14, 2 Hg 3.03

***

(3)
Crystalline Ba2TcHg at its relaxed geometry, computed with GGA-PBEsol.

## Properties
polymorph energy (0 for the lowest one)	0	meV per atom
energy of formation from the pure elements	0.399	eV per atom

Lattice parameters (Å, degrees): 4.7118 6.3133 6.3133 44.55 90.00 90.00
Last column: nearest neighbours and their distance in Å.
Element x y z (fractional)
Ba1 0.0000 0.0000 0.0000  3 Hg 3.37-3.47, 4 Tc 3.53
Ba2 0.5000 0.2906 0.2906  3 Tc 3.32-3.54, 4 Hg 3.51
Tc1 0.5000 0.5938 0.5938  2 Hg 2.68
Hg1 0.0000 0.7028 0.7028  2 Tc 2.68

***

(4)
Crystalline BaTc2Hg at its relaxed geometry, computed with GGA-PBEsol.

## Properties
polymorph energy (0 for the lowest one)	0	meV per atom
energy of formation from the pure elements	0.552	eV per atom

Lattice parameters (Å, degrees): 5.1747 5.1747 5.9641 107.12 107.12 43.16
Last column: nearest neighbours and their distance in Å.
Element x y z (fractional)
Ba1 0.0000 0.0000 0.0000  8 Tc 3.48-3.77, 4 Hg 3.54, 2 Ba 3.81
Tc1 0.2329 0.2329 0.5962  2 Tc 2.30
Tc2 0.7671 0.7671 0.4038  2 Tc 2.30
Hg1 0.5000 0.5000 0.5000  6 Tc 2.80-2.86

***

(5)
Crystalline BaTc2Hg at its relaxed geometry, computed with GGA-PBEsol.

## Properties
polymorph energy (0 for the lowest one)	631	meV per atom
energy of formation from the pure elements	1.182	eV per atom

Lattice parameters (Å, degrees): 2.8902 2.8902 9.6087 90.00 90.00 90.00
Last column: nearest neighbours and their distance in Å.
Element x y z (fractional)
Ba1 0.0000 0.0000 0.0000  4 Ba 2.89
Tc1 0.5000 0.5000 0.2876  4 Hg 2.89, 4 Tc 2.89
Tc2 0.5000 0.5000 0.7124  4 Hg 2.89, 4 Tc 2.89
Hg1 0.0000 0.0000 0.5000  8 Tc 2.89, 4 Hg 2.89

***

(6)
Crystalline Ba2TiHgTe at its relaxed geometry, computed with GGA-PBEsol.

## Properties
raw formation energy	-0.22	eV/f.u.

Lattice parameters (Å, degrees): 6.0564 6.0564 5.1523 90.00 90.00 90.00
Last column: nearest neighbours and their distance in Å.
Element x y z (fractional)
Ba1 0.0000 0.5000 0.0000  2 Ti 3.03
Ba2 0.5000 0.0000 0.0000  2 Ti 3.03
Ti1 0.0000 0.0000 0.0000  2 Te 2.58
Hg1 0.5000 0.5000 0.5000  8 Ba 3.98, 4 Te 4.28
Te1 0.0000 0.0000 0.5000  2 Ti 2.58

***

(7)
Crystalline BaTiHg3 at its relaxed geometry, computed with GGA-PBEsol.

## Properties
energy of formation from the pure elements	-0.077	eV per atom

Lattice parameters (Å, degrees): 5.2988 5.2988 5.2988 90.00 90.00 90.00
Last column: nearest neighbours and their distance in Å.
Element x y z (fractional)
Ba1 0.0000 0.0000 0.0000  12 Hg 3.75
Ti1 0.5000 0.5000 0.5000  6 Hg 2.65
Hg1 0.0000 0.5000 0.5000  2 Ti 2.65
Hg2 0.5000 0.0000 0.5000  2 Ti 2.65
Hg3 0.5000 0.5000 0.0000  2 Ti 2.65

***

(8)
Crystalline BaTlHg at its relaxed geometry, computed with GGA-PBEsol.

## Properties
polymorph energy (0 for the lowest one)	0	meV per atom
energy of formation from the pure elements	-0.480	eV per atom

Lattice parameters (Å, degrees): 5.2007 5.2007 4.0639 90.00 90.00 120.00
Last column: nearest neighbours and their distance in Å.
Element x y z (fractional)
Ba1 0.0000 0.0000 0.0000  6 Hg 3.63, 6 Tl 3.63
Tl1 0.3333 0.6667 0.5000  3 Hg 3.00
Hg1 0.6667 0.3333 0.5000  3 Tl 3.00

***

(9)
Crystalline BaTl2Hg2 at its relaxed geometry, computed with GGA-PBEsol.

## Properties
energy of formation from the pure elements	-0.371	eV per atom

Lattice parameters (Å, degrees): 10.5956 10.5956 5.1409 90.00 90.00 90.00
Last column: nearest neighbours and their distance in Å.
Element x y z (fractional)
Ba1 0.1483 0.1483 0.0000  9 Hg 3.57-3.83, 4 Tl 3.62
Ba2 0.3517 0.6483 0.5000  9 Hg 3.57-3.83, 4 Tl 3.62
Ba3 0.6483 0.3517 0.5000  9 Hg 3.57-3.83, 4 Tl 3.62
Ba4 0.8517 0.8517 0.0000  9 Hg 3.57-3.83, 4 Tl 3.62
Tl1 0.0293 0.3579 0.5000  2 Hg 3.05-3.07, 5 Tl 3.07-3.37
Tl2 0.1421 0.5293 0.0000  2 Hg 3.05-3.07, 5 Tl 3.07-3.37
Tl3 0.3579 0.0293 0.5000  2 Hg 3.05-3.07, 5 Tl 3.07-3.37
Tl4 0.4707 0.8579 0.0000  2 Hg 3.05-3.07, 5 Tl 3.07-3.37
Tl5 0.5293 0.1421 0.0000  2 Hg 3.05-3.07, 5 Tl 3.07-3.37
Tl6 0.6421 0.9707 0.5000  2 Hg 3.05-3.07, 5 Tl 3.07-3.37
Tl7 0.8579 0.4707 0.0000  2 Hg 3.05-3.07, 5 Tl 3.07-3.37
Tl8 0.9707 0.6421 0.5000  2 Hg 3.05-3.07, 5 Tl 3.07-3.37
Hg1 0.0963 0.9037 0.5000  3 Hg 2.89-2.90, 2 Tl 3.07
Hg2 0.1862 0.8138 0.0000  2 Hg 2.90, 2 Tl 3.05
Hg3 0.3138 0.3138 0.5000  2 Hg 2.90, 2 Tl 3.05
Hg4 0.4037 0.4037 0.0000  3 Hg 2.89-2.90, 2 Tl 3.07
Hg5 0.5963 0.5963 0.0000  3 Hg 2.89-2.90, 2 Tl 3.07
Hg6 0.6862 0.6862 0.5000  2 Hg 2.90, 2 Tl 3.05
Hg7 0.8138 0.1862 0.0000  2 Hg 2.90, 2 Tl 3.05
Hg8 0.9037 0.0963 0.5000  3 Hg 2.89-2.90, 2 Tl 3.07

***

(10)
Crystalline BaTl2Hg2 at its relaxed geometry, computed with GGA-PBEsol.

## Properties
energy of formation from the pure elements	-0.320	eV per atom

Lattice parameters (Å, degrees): 6.9522 6.9522 6.9522 137.79 137.79 61.23
Last column: nearest neighbours and their distance in Å.
Element x y z (fractional)
Ba1 0.0000 0.0000 0.0000  8 Tl 3.83, 8 Hg 3.90
Tl1 0.3782 0.3782 0.0000  1 Tl 2.92, 4 Hg 2.94
Tl2 0.6218 0.6218 0.0000  1 Tl 2.92, 4 Hg 2.94
Hg1 0.2500 0.7500 0.5000  4 Tl 2.94
Hg2 0.7500 0.2500 0.5000  4 Tl 2.94

***

(11)
Crystalline Ba2TlHg2 at its relaxed geometry, computed with GGA-PBEsol.

## Properties
energy of formation from the pure elements	-0.460	eV per atom

Lattice parameters (Å, degrees): 8.7482 8.7482 4.4342 90.00 90.00 90.00
Last column: nearest neighbours and their distance in Å.
Element x y z (fractional)
Ba1 0.1781 0.3219 0.0000  6 Hg 3.33-3.47
Ba2 0.3219 0.8219 0.0000  6 Hg 3.33-3.47
Ba3 0.6781 0.1781 0.0000  6 Hg 3.33-3.47
Ba4 0.8219 0.6781 0.0000  6 Hg 3.33-3.47
Tl1 0.0000 0.0000 0.5000  4 Hg 3.48
Tl2 0.5000 0.5000 0.5000  4 Hg 3.48
Hg1 0.1216 0.6216 0.5000  1 Hg 3.01, 2 Ba 3.33
Hg2 0.3784 0.1216 0.5000  1 Hg 3.01, 2 Ba 3.33
Hg3 0.6216 0.8784 0.5000  1 Hg 3.01, 2 Ba 3.33
Hg4 0.8784 0.3784 0.5000  1 Hg 3.01, 2 Ba 3.33

***

(12)
Crystalline BaTlHg4 at its relaxed geometry, computed with GGA-PBEsol.

## Properties
energy of formation from the pure elements	-0.317	eV per atom

Lattice parameters (Å, degrees): 6.1270 6.1270 6.1270 60.00 60.00 60.00
Last column: nearest neighbours and their distance in Å.
Element x y z (fractional)
Ba1 0.0000 0.0000 0.0000  12 Hg 3.59, 4 Tl 3.75
Tl1 0.7500 0.7500 0.7500  12 Hg 3.59, 4 Ba 3.75
Hg1 0.3756 0.3756 0.3756  6 Hg 3.05-3.08
Hg2 0.3756 0.3756 0.8731  6 Hg 3.05-3.08
Hg3 0.3756 0.8731 0.3756  6 Hg 3.05-3.08
Hg4 0.8731 0.3756 0.3756  6 Hg 3.05-3.08

***

(13)
Crystalline BaTlHg at its relaxed geometry, computed with GGA-PBEsol.

## Properties
polymorph energy (0 for the lowest one)	97	meV per atom
energy of formation from the pure elements	-0.384	eV per atom

Lattice parameters (Å, degrees): 6.5335 6.5335 6.5335 144.31 144.31 51.36
Last column: nearest neighbours and their distance in Å.
Element x y z (fractional)
Ba1 0.0000 0.0000 0.0000  5 Hg 3.50-3.82, 5 Tl 3.62-3.63
Tl1 0.6916 0.6916 0.0000  4 Hg 3.24, 4 Ba 3.62
Hg1 0.3248 0.3248 0.0000  4 Tl 3.24, 4 Ba 3.50

***

(14)
Crystalline BaHg2W at its relaxed geometry, computed with GGA-PBEsol.

## Properties
polymorph energy (0 for the lowest one)	476	meV per atom
energy of formation from the pure elements	1.008	eV per atom

Lattice parameters (Å, degrees): 5.2429 5.2429 5.2429 60.00 60.00 60.00
Last column: nearest neighbours and their distance in Å.
Element x y z (fractional)
Ba1 0.0000 0.0000 0.0000  4 Hg 3.21, 4 W 3.21
Hg1 0.5000 0.5000 0.5000  4 Hg 3.21, 4 W 3.21
Hg2 0.7500 0.7500 0.7500  4 Hg 3.21, 4 Ba 3.21
W1 0.2500 0.2500 0.2500  4 Ba 3.21, 4 Hg 3.21